4
Lattice="3.877 0.000 0.000 0.000 3.863 0.000 -0.179 0.000 6.696" Properties=species:S:1:pos:R:3 comment="PBE YCd2Se, optimized geometry" final_energy_ev_per_atom=-3.598 pbc="T T T"
Y 0.000 0.000 0.000
Cd -0.015 0.000 3.394
Cd 1.932 1.932 2.110
Se 1.757 1.932 5.770

---

4
Lattice="1.381 0.797 8.143 -1.381 0.797 8.143 0.000 -1.594 8.143" Properties=species:S:1:pos:R:3 comment="PBE FeW2N, optimized geometry" final_energy_ev_per_atom=-10.136 polymorph_energy_ev_per_atom=0.025 pbc="T T T"
Fe 0.000 0.000 0.000
W 0.000 0.000 2.581
W 0.000 0.000 21.849
N 0.000 0.000 12.215